No. 1
A relaxed structure of HfAsWSe2, computed with GGA-PBE.

The structure in POSCAR format:
```
HfAsWSe2
1.0
5.047 0.000 0.000
0.000 5.047 0.000
0.000 0.000 5.222
Hf Se As W
1 2 1 1
Direct
0.000 0.000 0.000
0.000 0.500 0.000
0.500 0.000 0.000
0.000 0.000 0.500
0.500 0.500 0.500
```

SG: P4/mmm
E_form (uncorrected) in eV/atom: 0.86
Distance to the lowest polymorph of the same formula in eV/f.u.: 1.31

No. 2
A relaxed structure of LuMnZnCd, computed with GGA-PBE.

The structure in POSCAR format:
```
LuMnZnCd
1.0
-3.293 2.392 2.536
-0.293 -0.627 4.745
1.349 3.514 2.970
Zn Mn Lu Cd
1 1 1 1
Direct
0.250 0.250 0.250
0.500 0.500 0.500
0.000 0.000 0.000
0.750 0.750 0.750
```

SG: F-43m
DFT formation energy in eV/f.u.: -0.1

No. 3
A relaxed structure of KNpTlO6, computed with GGA-PBE.

The structure in POSCAR format:
```
KNpTlO6
1.0
-0.979 -5.125 2.279
5.273 2.148 -0.018
-2.049 5.116 10.625
O K Np Tl
12 2 2 2
Direct
0.607 0.644 0.651
0.356 0.393 0.849
0.393 0.356 0.349
0.037 0.644 0.849
0.393 0.037 0.151
0.963 0.356 0.151
0.963 0.607 0.349
0.037 0.393 0.651
0.644 0.607 0.151
0.356 0.963 0.651
0.607 0.963 0.849
0.644 0.037 0.349
0.000 0.000 0.500
0.000 0.000 0.000
0.667 0.333 0.250
0.333 0.667 0.750
0.333 0.667 0.250
0.667 0.333 0.750
```

SG: P-31c
E_form (uncorrected) in eV/atom: -1.57

No. 4
A relaxed structure of Te2Pd8Pt, computed with GGA-PBE.

The structure in POSCAR format:
```
Te2Pd8Pt
1.0
-2.593 -2.235 2.254
-1.185 -3.762 -5.095
7.041 -1.700 2.690
Pd Te Pt
8 2 1
Direct
0.038 0.743 0.075
0.676 0.923 0.352
0.142 0.200 0.284
0.858 0.800 0.716
0.588 0.453 0.175
0.324 0.077 0.648
0.962 0.257 0.925
0.412 0.547 0.825
0.799 0.336 0.597
0.201 0.664 0.403
0.500 0.000 0.000
```

SG: C2/m
E_form (uncorrected) in eV/atom: -0.19

No. 5
A relaxed structure of CrSb4As, computed with GGA-PBE.

The structure in POSCAR format:
```
CrSb4As
1.0
-5.276 -1.842 2.535
-5.333 2.254 -2.034
-3.839 -3.589 -3.169
Sb As Cr
4 1 1
Direct
0.375 0.375 0.875
0.375 0.875 0.375
0.375 0.375 0.375
0.875 0.375 0.375
0.750 0.750 0.750
0.000 0.000 0.000
```

SG: F-43m
E_form (uncorrected) in eV/atom: 0.73

No. 6
A relaxed structure of Ac2RuO6, computed with GGA-PBE.

The structure in POSCAR format:
```
Ac2RuO6
1.0
3.987 0.000 -0.157
0.000 5.694 0.000
-1.769 -2.847 5.765
Ac O Ru
2 6 1
Direct
0.665 0.665 0.330
0.335 0.335 0.670
0.500 0.196 0.000
0.139 0.912 0.279
0.861 0.633 0.721
0.139 0.367 0.279
0.861 0.088 0.721
0.500 0.804 0.000
0.000 0.000 0.000
```

SG: Immm
E_form (uncorrected) in eV/atom: -1.98
Distance to the lowest polymorph of the same formula in eV/f.u.: 2.95

Here are the calculated VASP energy numbers, same order: -6.049; -3.997; -6.700; -5.087; -4.400; -7.227 (eV per atom).